Record 1
A plane-wave DFT calculation with PBE was carried out for a relaxed La3YPd crystal.

a = 5.729 Å, b = 5.729 Å, c = 5.729 Å
α = 90.00°, β = 90.00°, γ = 90.00°
Sites, in units of the cell vectors:
Pd1 0.000 0.000 0.000
La1 0.000 0.500 0.000
La2 0.000 0.000 0.500
La3 0.500 0.000 0.000
Y1 0.500 0.500 0.500

Distance to the lowest polymorph of the same formula: 0.00 eV/f.u.
Energy relative to the elements: -0.36 eV/f.u.
Density of states at the Fermi level: 1.60 states/eV/atom
SG: No. 221

---

Record 2
A plane-wave DFT calculation with PBE was carried out for a relaxed AcMg5Hg6 crystal.

a = 5.038 Å, b = 7.880 Å, c = 7.637 Å
α = 90.00°, β = 90.00°, γ = 71.09°
Sites, in units of the cell vectors:
Mg1 0.665 0.671 0.500
Mg2 0.000 0.000 0.500
Mg3 0.335 0.329 0.500
Mg4 0.321 0.355 0.000
Mg5 0.679 0.645 0.000
Hg1 0.823 0.350 0.267
Hg2 0.177 0.650 0.267
Hg3 0.500 0.000 0.279
Hg4 0.823 0.350 0.733
Hg5 0.177 0.650 0.733
Hg6 0.500 0.000 0.721
Ac1 0.000 0.000 0.000

Energy relative to the elements: -3.08 eV/f.u.
Density of states at the Fermi level: 0.43 states/eV/atom
SG: No. 10

---

Record 3
A plane-wave DFT calculation with PBE was carried out for a relaxed CaTaAsSe2 crystal.

a = 5.205 Å, b = 5.205 Å, c = 5.162 Å
α = 90.00°, β = 90.00°, γ = 90.00°
Sites, in units of the cell vectors:
As1 0.000 0.000 0.500
Se1 0.500 0.000 0.000
Se2 0.000 0.500 0.000
Ca1 0.000 0.000 0.000
Ta1 0.500 0.500 0.500

ΔE_f (raw): 0.989 eV/atom
Distance to the lowest polymorph of the same formula: 8.07 eV/f.u.
Density of states at the Fermi level: 1.21 states/eV/atom
SG: No. 123

---

Record 4
A plane-wave DFT calculation with PBE was carried out for a relaxed AlCu2Re crystal.

a = 3.545 Å, b = 3.545 Å, c = 9.564 Å
α = 79.32°, β = 79.32°, γ = 90.00°
Sites, in units of the cell vectors:
Al1 0.500 0.500 0.000
Al2 0.250 0.750 0.500
Re1 0.750 0.250 0.500
Re2 0.000 0.000 0.000
Cu1 0.123 0.625 0.250
Cu2 0.375 0.373 0.750
Cu3 0.875 0.877 0.750
Cu4 0.627 0.125 0.250

Energy relative to the elements: 1.85 eV/f.u.
Density of states at the Fermi level: 0.07 states/eV/atom
SG: No. 122

---

Record 5
A plane-wave DFT calculation with PBE was carried out for a relaxed ThZnHg2 crystal.

a = 4.804 Å, b = 4.519 Å, c = 4.519 Å
α = 90.00°, β = 90.00°, γ = 90.00°
Sites, in units of the cell vectors:
Zn1 0.500 0.000 0.000
Hg1 0.000 0.000 0.500
Hg2 0.000 0.500 0.000
Th1 0.500 0.500 0.500

Energy relative to the elements: -0.49 eV/f.u.
Density of states at the Fermi level: 0.79 states/eV/atom
SG: No. 123

---

Record 6
A plane-wave DFT calculation with PBE was carried out for a relaxed In12Hg5Bi2 crystal.

a = 8.555 Å, b = 9.389 Å, c = 8.018 Å
α = 106.01°, β = 90.00°, γ = 117.10°
Sites, in units of the cell vectors:
Hg1 0.700 0.399 0.863
Hg2 0.300 0.601 0.137
Hg3 0.210 0.421 0.457
Hg4 0.790 0.579 0.543
Hg5 0.000 0.000 0.500
In1 0.510 0.609 0.808
In2 0.901 0.391 0.192
In3 0.186 0.781 0.485
In4 0.130 0.259 0.855
In5 0.486 0.973 0.217
In6 0.490 0.391 0.192
In7 0.099 0.609 0.808
In8 0.514 0.027 0.783
In9 0.595 0.781 0.485
In10 0.814 0.219 0.515
In11 0.870 0.741 0.145
In12 0.405 0.219 0.515
Bi1 0.207 0.000 0.000
Bi2 0.793 0.000 0.000

Distance to the lowest polymorph of the same formula: 0.04 eV/f.u.
Energy relative to the elements: 0.73 eV/f.u.
Density of states at the Fermi level: 0.31 states/eV/atom
SG: No. 12

---

Record 7
A plane-wave DFT calculation with PBE was carried out for a relaxed CsAl3N crystal.

a = 6.109 Å, b = 6.109 Å, c = 6.109 Å
α = 90.00°, β = 90.00°, γ = 90.00°
Sites, in units of the cell vectors:
Al1 0.500 0.000 0.000
Al2 0.000 0.500 0.000
Al3 0.000 0.000 0.500
Cs1 0.000 0.000 0.000
N1 0.500 0.500 0.500

ΔE_f (raw): 2.839 eV/atom
Distance to the lowest polymorph of the same formula: 9.40 eV/f.u.
Density of states at the Fermi level: 1.66 states/eV/atom
SG: No. 221

---

Record 8
A plane-wave DFT calculation with PBE was carried out for a relaxed CuTe2RuN crystal.

a = 5.420 Å, b = 5.420 Å, c = 3.612 Å
α = 90.00°, β = 90.00°, γ = 90.00°
Sites, in units of the cell vectors:
Te1 0.000 0.500 0.000
Te2 0.500 0.000 0.000
Ru1 0.000 0.000 0.000
Cu1 0.500 0.500 0.500
N1 0.000 0.000 0.500

ΔE_f (raw): 0.488 eV/atom
Distance to the lowest polymorph of the same formula: 0.00 eV/f.u.
Density of states at the Fermi level: 0.67 states/eV/atom
SG: No. 123

---

| no. | electronic total energy (eV per formula unit) | total magnetic moment (μB/atom) |
| --- | --- | --- |
| 1 | -26.80 | 0.375 |
| 2 | -16.97 | 0.000 |
| 3 | -20.53 | 0.388 |
| 4 | -22.53 | 0.000 |
| 5 | -9.79 | 0.000 |
| 6 | -41.40 | 0.000 |
| 7 | -6.21 | 0.000 |
| 8 | -25.54 | 0.000 |